# Pm2Nd2SiRh4

An optimized crystal structure of Pm2Nd2SiRh4 (PBE, Alexandria via LeMat-Bulk).

- total magnetization (μB/cell) = 0.000
- Fermi-level density of states (states/eV per atom) = 0.84
- E (Ha/atom) = -0.23760
- ΔE_f (raw) (eV per formula unit) = -4.32
- calculated volume (Å³/atom) = 22.00

a b c (Å): 6.494 6.494 6.494
angles (deg): 118.42 118.42 92.75
Fractional positions:
1 Pm 0.183 0.183 0.000
2 Pm 0.817 0.817 0.000
3 Nd 0.250 0.750 0.500
4 Nd 0.750 0.250 0.500
5 Si 0.500 0.500 0.000
6 Rh 0.253 0.253 0.505
7 Rh 0.253 0.747 0.000
8 Rh 0.747 0.253 0.000
9 Rh 0.747 0.747 0.495



# Ba2As2Au

An optimized crystal structure of Ba2As2Au (PBE, Alexandria via LeMat-Bulk).

- excess energy over the best structure of this formula in the dataset (meV/atom) = 314
- energy relative to the elements (eV per atom) = -0.61
- total magnetization (μB/cell) = 0.000
- Fermi-level density of states (states/eV per atom) = 0.68
- E (Ha/atom) = -0.14321
- calculated volume (Å³/atom) = 31.42

a b c (Å): 4.088 4.088 18.802
angles (deg): 90.00 90.00 90.00
Fractional positions:
1 Ba 0.000 0.000 0.111
2 Ba 0.000 0.000 0.889
3 Ba 0.500 0.500 0.389
4 Ba 0.500 0.500 0.611
5 As 0.000 0.500 0.250
6 As 0.000 0.500 0.750
7 As 0.500 0.000 0.250
8 As 0.500 0.000 0.750
9 Au 0.000 0.000 0.500
10 Au 0.500 0.500 0.000